[1]
Material: AlSbCI2
Method: DFT, PBE-GGA
State: optimized geometry

Results
For the formation energy without anion corrections, the calculation gives 1553.8 meV per atom. As for the energy above the lowest structure with this stoichiometry: 449 meV/atom.

Cell lengths 5.508, 5.508, 5.451 Å; angles 90.00, 90.00, 90.00 degrees
Atoms (fractional coordinates):
Sb  0.000  0.000  0.500
Al  0.000  0.000  0.000
C  0.500  0.500  0.500
I  0.000  0.500  0.000
I  0.500  0.000  0.000

[2]
Material: AlSb2CI
Method: DFT, PBE-GGA
State: optimized geometry

Results
For the formation energy without anion corrections, the calculation gives 1091.2 meV per atom. As for the energy above the lowest structure with this stoichiometry: 0 meV/atom.

Cell lengths 4.794, 4.794, 5.038 Å; angles 90.00, 90.00, 90.00 degrees
Atoms (fractional coordinates):
I  0.000  0.000  0.500
C  0.000  0.000  0.000
Al  0.500  0.500  0.500
Sb  0.500  0.000  0.000
Sb  0.000  0.500  0.000

[3]
Material: AlSbCI2
Method: DFT, PBE-GGA
State: optimized geometry

Results
For the formation energy without anion corrections, the calculation gives 1105.1 meV per atom. As for the energy above the lowest structure with this stoichiometry: 0 meV/atom.

Cell lengths 5.179, 5.179, 4.758 Å; angles 90.00, 90.00, 90.00 degrees
Atoms (fractional coordinates):
C  0.000  0.000  0.000
I  0.000  0.500  0.000
I  0.500  0.000  0.000
Sb  0.000  0.000  0.500
Al  0.500  0.500  0.500

[4]
Material: AlSb2CI
Method: DFT, PBE-GGA
State: optimized geometry

Results
For the formation energy without anion corrections, the calculation gives 1738.7 meV per atom. As for the energy above the lowest structure with this stoichiometry: 648 meV/atom.

Cell lengths 5.338, 5.338, 5.418 Å; angles 90.00, 90.00, 90.00 degrees
Atoms (fractional coordinates):
Sb  0.500  0.000  0.000
Sb  0.000  0.500  0.000
I  0.000  0.000  0.500
C  0.500  0.500  0.500
Al  0.000  0.000  0.000

[5]
Material: SrAlC2I
Method: DFT, PBE-GGA
State: optimized geometry

Results
For the formation energy without anion corrections, the calculation gives 2254.0 meV per atom.

Cell lengths 5.109, 10.571, 5.109 Å; angles 90.00, 90.00, 90.00 degrees
Atoms (fractional coordinates):
C  0.000  0.000  0.500
C  0.500  0.000  0.000
I  0.500  0.500  0.500
Al  0.000  0.500  0.000
Sr  0.000  0.000  0.000

[6]
Material: AlTcCI2
Method: DFT, PBE-GGA
State: optimized geometry

Results
For the formation energy without anion corrections, the calculation gives 792.6 meV per atom.

Cell lengths 5.620, 3.869, 5.620 Å; angles 90.00, 90.00, 90.00 degrees
Atoms (fractional coordinates):
I  0.500  0.000  0.000
I  0.000  0.000  0.500
Al  0.500  0.500  0.500
Tc  0.000  0.000  0.000
C  0.000  0.500  0.000

[7]
Material: AlTe2CI
Method: DFT, PBE-GGA
State: optimized geometry

Results
For the formation energy without anion corrections, the calculation gives 1553.5 meV per atom. As for the energy above the lowest structure with this stoichiometry: 513 meV/atom.

Cell lengths 5.387, 5.387, 5.420 Å; angles 90.00, 90.00, 90.00 degrees
Atoms (fractional coordinates):
Al  0.000  0.000  0.000
I  0.000  0.000  0.500
C  0.500  0.500  0.500
Te  0.500  0.000  0.000
Te  0.000  0.500  0.000

[8]
Material: AlTe2CI
Method: DFT, PBE-GGA
State: optimized geometry

Results
For the formation energy without anion corrections, the calculation gives 1040.7 meV per atom. As for the energy above the lowest structure with this stoichiometry: 0 meV/atom.

Cell lengths 4.857, 4.857, 5.037 Å; angles 90.00, 90.00, 90.00 degrees
Atoms (fractional coordinates):
C  0.000  0.000  0.000
Te  0.500  0.000  0.000
Te  0.000  0.500  0.000
Al  0.500  0.500  0.500
I  0.000  0.000  0.500

[9]
Material: TiAlCI2
Method: DFT, PBE-GGA
State: optimized geometry

Results
For the formation energy without anion corrections, the calculation gives 540.6 meV per atom.

Cell lengths 5.792, 5.792, 3.876 Å; angles 90.00, 90.00, 90.00 degrees
Atoms (fractional coordinates):
I  0.500  0.000  0.000
I  0.000  0.500  0.000
C  0.000  0.000  0.500
Al  0.500  0.500  0.500
Ti  0.000  0.000  0.000

[10]
Material: Al2InC2
Method: DFT, PBE-GGA
State: optimized geometry

Results
The calculation puts the formation energy at 976 meV per atom. As for the energy above the lowest structure with this stoichiometry: 105 meV/atom.

Cell lengths 7.265, 7.265, 3.141 Å; angles 90.00, 90.00, 90.00 degrees
Atoms (fractional coordinates):
Al  0.146  0.354  0.000
Al  0.354  0.854  0.000
Al  0.854  0.646  0.000
Al  0.646  0.146  0.000
C  0.065  0.565  0.500
C  0.435  0.065  0.500
C  0.935  0.435  0.500
C  0.565  0.935  0.500
In  0.500  0.500  0.000
In  0.000  0.000  0.000

[11]
Material: AlInC3
Method: DFT, PBE-GGA
State: optimized geometry

Results
The calculation puts the formation energy at 3094 meV per atom. As for the energy above the lowest structure with this stoichiometry: 976 meV/atom.

Cell lengths 4.315, 4.315, 4.315 Å; angles 90.00, 90.00, 90.00 degrees
Atoms (fractional coordinates):
In  0.000  0.000  0.000
C  0.500  0.000  0.000
C  0.000  0.000  0.500
C  0.000  0.500  0.000
Al  0.500  0.500  0.500

[12]
Material: Al2InC
Method: DFT, PBE-GGA
State: optimized geometry

Results
The calculation puts the formation energy at 1318 meV per atom.

Cell lengths 4.556, 4.556, 4.556 Å; angles 60.00, 60.00, 60.00 degrees
Atoms (fractional coordinates):
C  0.000  0.000  0.000
Al  0.250  0.250  0.250
Al  0.750  0.750  0.750
In  0.500  0.500  0.500